Material: BeZnP
Method: DFT, SCAN
State: PBEsol geometry

Unit cell a=2.6305 b=2.6305 c=6.3609 alpha=90.00 beta=90.00 gamma=120.00
With the nearest neighbours (Å) after each atom.
Space group P3m1 (No. 156)
Unique sites:
Be1 0.0000 0.0000 0.0000 x1  3 P 2.31, 3 Zn 2.50
Zn1 0.6667 0.3333 0.3113 x1  3 Be 2.50, 6 Zn 2.63
P1 0.3333 0.6667 0.7256 x1  3 Be 2.31

- theoretical density (kg/m³) = 4592
- ΔE_f (eV per atom) = 0.378


Material: BeZnP2
Method: DFT, SCAN
State: PBEsol geometry

Unit cell a=4.5448 b=4.5448 c=12.3973 alpha=90.00 beta=90.00 gamma=90.00
With the nearest neighbours (Å) after each atom.
Space group I-42d (No. 122)
Unique sites:
Be1 0.0000 0.0000 0.0000 x4  4 P 2.13
Zn1 0.0000 0.0000 0.5000 x4  4 P 2.34
P1 0.2044 0.2500 0.1250 x8  2 Be 2.13, 2 Zn 2.34

- theoretical density (kg/m³) = 3537
- ΔE_f (eV per atom) = -0.004


Material: BeZn2P
Method: DFT, SCAN
State: PBEsol geometry

Unit cell a=2.6629 b=2.6629 c=7.2770 alpha=90.00 beta=90.00 gamma=90.00
With the nearest neighbours (Å) after each atom.
Space group P4/mmm (No. 123)
Unique sites:
Be1 0.0000 0.0000 0.0000 x1  8 Zn 2.45, 4 Be 2.66
Zn1 0.5000 0.5000 0.2164 x2  4 Be 2.45, 4 Zn 2.66
P1 0.0000 0.0000 0.5000 x1  4 P 2.66, 8 Zn 2.79

- theoretical density (kg/m³) = 5497
- ΔE_f (eV per atom) = 0.343


Material: BeZnP
Method: DFT, SCAN
State: PBEsol geometry

Unit cell a=5.4087 b=5.4087 c=5.4087 alpha=90.00 beta=90.00 gamma=90.00
With the nearest neighbours (Å) after each atom.
Space group F-43m (No. 216)
Unique sites:
Be1 0.0000 0.0000 0.0000 x4  4 Zn 2.34, 4 P 2.34
Zn1 0.2500 0.2500 0.2500 x4  4 Be 2.34
P1 0.2500 0.2500 0.7500 x4  4 Be 2.34

- theoretical density (kg/m³) = 4424
- ΔE_f (eV per atom) = 0.087


Material: BeZn2P
Method: DFT, SCAN
State: PBEsol geometry

Unit cell a=3.3110 b=2.5355 c=12.6591 alpha=90.00 beta=90.00 gamma=90.00
With the nearest neighbours (Å) after each atom.
Space group Amm2 (No. 38)
Unique sites:
Be1 0.0000 0.0000 0.0000 x2  4 P 2.33, 2 Be 2.54
Zn1 0.0000 0.0000 0.7466 x2  6 Zn 2.54-2.65, 2 P 2.66
Zn2 0.5000 0.0000 0.3755 x2  6 Zn 2.54-2.65, 1 P 2.61, 4 Be 2.61
P1 0.5000 0.0000 0.5818 x2  4 Be 2.33, 2 P 2.54

- theoretical density (kg/m³) = 5338
- ΔE_f (eV per atom) = 0.184


Material: BeZnP2
Method: DFT, SCAN
State: PBEsol geometry

Unit cell a=4.9515 b=6.5858 c=3.7111 alpha=90.00 beta=114.64 gamma=90.00
With the nearest neighbours (Å) after each atom.
Space group C2/m (No. 12)
Unique sites:
Be1 0.0000 0.0000 0.0000 x2  4 P 2.40, 2 Zn 2.48
Zn1 0.0000 0.5000 0.0000 x2  4 P 2.40, 2 Be 2.48
P1 0.2500 0.2500 0.5000 x4  2 Be 2.40, 2 Zn 2.40, 2 P 2.48

- theoretical density (kg/m³) = 4117
- ΔE_f (eV per atom) = 0.323


Material: Be3ZnP
Method: DFT, SCAN
State: PBEsol geometry

Unit cell a=4.0952 b=4.0952 c=4.0952 alpha=90.00 beta=90.00 gamma=90.00
With the nearest neighbours (Å) after each atom.
Space group Pm-3m (No. 221)
Unique sites:
Be1 0.0000 0.0000 0.5000 x3  2 P 2.05
Zn1 0.5000 0.5000 0.5000 x1  12 Be 2.90
P1 0.0000 0.0000 0.0000 x1  6 Be 2.05

- theoretical density (kg/m³) = 2984
- ΔE_f (eV per atom) = 0.675


Material: ZrBe3P
Method: DFT, SCAN
State: PBEsol geometry

Unit cell a=4.0648 b=4.0648 c=4.0648 alpha=90.00 beta=90.00 gamma=90.00
With the nearest neighbours (Å) after each atom.
Space group Pm-3m (No. 221)
Unique sites:
Zr1 0.0000 0.0000 0.0000 x1  12 Be 2.87
Be1 0.0000 0.5000 0.5000 x3  2 P 2.03
P1 0.5000 0.5000 0.5000 x1  6 Be 2.03

- theoretical density (kg/m³) = 3690
- ΔE_f (eV per atom) = 0.446


Material: Zr2BeP
Method: DFT, SCAN
State: PBEsol geometry

Unit cell a=5.7059 b=7.0553 c=3.1923 alpha=90.00 beta=96.63 gamma=90.00
With the nearest neighbours (Å) after each atom.
Space group C2/m (No. 12)
Unique sites:
Zr1 0.2500 0.2500 0.0000 x4  4 Be 2.68-2.87, 4 P 2.68-2.87, 2 Zr 2.85
Be1 0.0000 0.0000 0.5000 x2  8 Zr 2.68-2.87, 2 P 2.85
P1 0.0000 0.5000 0.5000 x2  8 Zr 2.68-2.87, 2 Be 2.85

- theoretical density (kg/m³) = 5787
- ΔE_f (eV per atom) = -0.498


Material: Zr2BeP
Method: DFT, SCAN
State: PBEsol geometry

Unit cell a=3.5322 b=3.6730 c=9.6646 alpha=90.00 beta=90.00 gamma=90.00
With the nearest neighbours (Å) after each atom.
Space group Amm2 (No. 38)
Unique sites:
Zr1 0.0000 0.0000 0.0000 x2  4 Be 2.65, 3 P 2.75-2.78
Zr2 0.5000 0.0000 0.2942 x2  4 P 2.67, 3 Be 2.73-2.79
Be1 0.5000 0.0000 0.5769 x2  2 P 2.20
P1 0.0000 0.0000 0.7120 x2  2 Be 2.20

- theoretical density (kg/m³) = 5892
- ΔE_f (eV per atom) = -1.024


Material: Zr2BeP
Method: DFT, SCAN
State: PBEsol geometry

Unit cell a=4.1445 b=4.1445 c=3.6827 alpha=90.00 beta=90.00 gamma=90.00
With the nearest neighbours (Å) after each atom.
Space group P4/mmm (No. 123)
Unique sites:
Zr1 0.0000 0.5000 0.0000 x2  4 P 2.77, 4 Be 2.77, 4 Zr 2.93
Be1 0.0000 0.0000 0.5000 x1  8 Zr 2.77, 4 P 2.93
P1 0.5000 0.5000 0.5000 x1  8 Zr 2.77, 4 Be 2.93

- theoretical density (kg/m³) = 5839
- ΔE_f (eV per atom) = -0.479


Material: PaBe13
Method: DFT, SCAN
State: PBEsol geometry

Unit cell a=10.1549 b=10.1549 c=10.1549 alpha=90.00 beta=90.00 gamma=90.00
With the nearest neighbours (Å) after each atom.
Space group Fm-3c (No. 226)
Unique sites:
Pa1 0.2500 0.2500 0.2500 x8  24 Be 2.98
Be1 0.0000 0.0000 0.0000 x8  12 Be 2.14
Be2 0.0000 0.1155 0.1760 x96  10 Be 2.14-2.35

- theoretical density (kg/m³) = 4417
- ΔE_f (eV per atom) = -0.096